Here is an optimized crystal structure of CeTmScPb from Alexandria. Energies are from GGA-PBE.

Computed properties:
Fermi-level density of states = 7.760 states/eV/cell
total moment = 0.45 μB/atom
E = -20.65 eV per cell
V = 103.87 Å³ per cell

Unit cell a=5.2764 b=5.2764 c=5.2764 alpha=60.00 beta=60.00 gamma=60.00
Fractional positions:
Pb 0.7500 0.7500 0.7500
Sc 0.0000 0.0000 0.0000
Tm 0.5000 0.5000 0.5000
Ce 0.2500 0.2500 0.2500